Below is a geometry-optimized Pm3Nd2Y6 structure, with properties calculated at the PBE level.

For the total magnetization, the calculation gives 0.00 μB/cell. Its formation energy from the elements is 0.1835 eV/atom. The electronic total energy is -5.505 eV per atom.

The space group is C2/m (No. 12) and the conventional cell measures 6.210, 10.775 and 11.760 Å, with angles of 90.00, 100.20 and 90.00 degrees. Symmetry generates all atoms from Pm at (0.000, 0.000, 0.000), Pm at (0.000, 0.336, 0.000), Nd at (0.000, 0.167, 0.500), Y at (0.249, 0.500, 0.250) and Y at (0.250, 0.166, 0.250).

Below is a geometry-optimized Ca3Tb structure, with properties calculated at the PBE level.

For the total magnetization, the calculation gives 0.37 μB/cell. Its formation energy from the elements is 0.2174 eV/atom. The electronic total energy is -2.441 eV per atom.

The space group is Pmm2 (No. 25) and the conventional cell measures 3.532, 3.694 and 12.070 Å, with angles of 90.00, 90.00 and 90.00 degrees. Symmetry generates all atoms from Ca at (0.000, 0.000, 0.000), Ca at (0.000, 0.500, 0.273), Ca at (0.500, 0.500, 0.754) and Tb at (0.500, 0.000, 0.498).

Below is a geometry-optimized Al3AgPd structure, with properties calculated at the PBE level.

For the total magnetization, the calculation gives 0.00 μB/cell. Its formation energy from the elements is 0.0441 eV/atom. The electronic total energy is -3.810 eV per atom.

The space group is Pm-3m (No. 221) and the conventional cell measures 4.728, 4.728 and 4.728 Å, with angles of 90.00, 90.00 and 90.00 degrees. Symmetry generates all atoms from Al at (0.000, 0.000, 0.500), Ag at (0.500, 0.500, 0.500) and Pd at (0.000, 0.000, 0.000).

Below is a geometry-optimized Ba2ZrBPd structure, with properties calculated at the PBE level.

For the total magnetization, the calculation gives 0.00 μB/cell. Its formation energy from the elements is 0.4210 eV/atom. The electronic total energy is -4.432 eV per atom.

The space group is P4/mmm (No. 123) and the conventional cell measures 5.973, 5.973 and 4.484 Å, with angles of 90.00, 90.00 and 90.00 degrees. Symmetry generates all atoms from Ba at (0.000, 0.500, 0.000), Zr at (0.000, 0.000, 0.500), B at (0.000, 0.000, 0.000) and Pd at (0.500, 0.500, 0.500).

Below is a geometry-optimized Rb2CuTcO4 structure, with properties calculated at the PBE level.

Its formation energy without anion corrections is -1.22 eV/atom. For the total magnetization, the calculation gives 0.00 μB/cell. The electronic total energy is -5.750 eV per atom.

The space group is I-4 (No. 82) and the conventional cell measures 6.166, 6.166 and 7.381 Å, with angles of 90.00, 90.00 and 90.00 degrees. Symmetry generates all atoms from Rb at (0.000, 0.000, 0.000), Rb at (0.000, 0.500, 0.250), Cu at (0.000, 0.500, 0.750), Tc at (0.000, 0.000, 0.500) and O at (0.113, 0.744, 0.592).

Below is a geometry-optimized Li2Tl2CdIn5 structure, with properties calculated at the PBE level.

For the total magnetization, the calculation gives 0.00 μB/cell. Its formation energy from the elements is -0.0369 eV/atom. The electronic total energy is -2.354 eV per atom.

The space group is P4/mbm (No. 127) and the conventional cell measures 11.515, 11.515 and 3.824 Å, with angles of 90.00, 90.00 and 90.00 degrees. Symmetry generates all atoms from Li at (0.129, 0.371, 0.000), Tl at (0.183, 0.683, 0.000), Cd at (0.000, 0.000, 0.000), In at (0.000, 0.500, 0.500) and In at (0.048, 0.203, 0.500).

Below is a geometry-optimized CdBAu2 structure, with properties calculated at the PBE level.

For the total magnetization, the calculation gives 0.00 μB/cell. Its formation energy from the elements is 0.3564 eV/atom. The electronic total energy is -3.180 eV per atom.

The space group is I-42d (No. 122) and the conventional cell measures 6.732, 6.732 and 6.467 Å, with angles of 90.00, 90.00 and 90.00 degrees. Symmetry generates all atoms from Cd at (0.000, 0.000, 0.000), B at (0.000, 0.000, 0.500) and Au at (0.152, 0.250, 0.625).

Below is a geometry-optimized Re2CO structure, with properties calculated at the PBE level.

Its formation energy without anion corrections is 0.79 eV/atom. For the total magnetization, the calculation gives 0.00 μB/cell. The electronic total energy is -8.982 eV per atom.

The space group is Fm-3m (No. 225) and the conventional cell measures 5.476, 5.476 and 5.476 Å, with angles of 90.00, 90.00 and 90.00 degrees. Symmetry generates all atoms from Re at (0.250, 0.250, 0.250), C at (0.000, 0.000, 0.000) and O at (0.000, 0.000, 0.500).